No. 1
## CaCl2F (PBE)

Data for crystalline CaCl2F at its relaxed geometry.

a = 4.791 Å, b = 4.791 Å, c = 4.791 Å
α = 60.00°, β = 60.00°, γ = 60.00°
Positions (direct):
Ca 0.500 0.500 0.500
F 0.000 0.000 0.000
Cl 0.250 0.250 0.250
Cl 0.750 0.750 0.750

* uncorrected formation energy: -1.66 eV per atom
* electronic total energy: -14.2 eV for the cell shown
* magnetization: 1.0 Bohr magnetons per cell
* V: 78 Å³/cell

---

No. 2
## Ca2ClF (PBE)

Data for crystalline Ca2ClF at its relaxed geometry.

a = 6.065 Å, b = 6.065 Å, c = 7.270 Å
α = 65.35°, β = 65.35°, γ = 90.00°
Positions (direct):
Ca 0.572 0.125 0.250
Ca 0.178 0.625 0.250
Ca 0.375 0.428 0.750
Ca 0.875 0.822 0.750
F 0.500 0.500 0.000
F 0.250 0.750 0.500
Cl 0.000 0.000 0.000
Cl 0.750 0.250 0.500

* uncorrected formation energy: -2.03 eV per atom
* electronic total energy: -31.7 eV for the cell shown
* magnetization: 3.2 Bohr magnetons per cell
* V: 216 Å³/cell

---

No. 3
## CaInCl2F (PBE)

Data for crystalline CaInCl2F at its relaxed geometry.

a = 4.040 Å, b = 7.929 Å, c = 9.301 Å
α = 108.07°, β = 90.00°, γ = 90.00°
Positions (direct):
Ca 0.250 0.807 0.821
Ca 0.750 0.193 0.179
In 0.250 0.683 0.309
In 0.750 0.317 0.691
Cl 0.750 0.834 0.631
Cl 0.750 0.819 0.033
Cl 0.250 0.166 0.369
Cl 0.250 0.181 0.967
F 0.250 0.519 0.746
F 0.750 0.481 0.254

* uncorrected formation energy: -2.14 eV per atom
* electronic total energy: -42.0 eV for the cell shown
* magnetization: 0.0 Bohr magnetons per cell
* V: 283 Å³/cell

---

No. 4
## CaInClF2 (PBE)

Data for crystalline CaInClF2 at its relaxed geometry.

a = 3.977 Å, b = 6.679 Å, c = 8.598 Å
α = 109.15°, β = 90.00°, γ = 90.00°
Positions (direct):
Ca 0.250 0.313 0.072
Ca 0.750 0.687 0.928
In 0.250 0.267 0.558
In 0.750 0.733 0.442
Cl 0.250 0.941 0.153
Cl 0.750 0.059 0.847
F 0.750 0.529 0.645
F 0.250 0.471 0.355
F 0.750 0.500 0.117
F 0.250 0.500 0.883

* uncorrected formation energy: -2.60 eV per atom
* electronic total energy: -46.6 eV for the cell shown
* magnetization: 0.0 Bohr magnetons per cell
* V: 216 Å³/cell

---

No. 5
## CaInClF2 (PBE)

Data for crystalline CaInClF2 at its relaxed geometry.

a = 4.485 Å, b = 4.485 Å, c = 5.630 Å
α = 90.00°, β = 90.00°, γ = 90.00°
Positions (direct):
Ca 0.000 0.000 0.000
Cl 0.000 0.000 0.500
F 0.000 0.500 0.000
F 0.500 0.000 0.000
In 0.500 0.500 0.500

* uncorrected formation energy: -2.54 eV per atom
* electronic total energy: -23.0 eV for the cell shown
* magnetization: 0.0 Bohr magnetons per cell
* V: 113 Å³/cell

---

No. 6
## K2CaCl3F (PBE)

Data for crystalline K2CaCl3F at its relaxed geometry.

a = 4.389 Å, b = 5.394 Å, c = 9.049 Å
α = 107.34°, β = 104.04°, γ = 90.00°
Positions (direct):
K 0.648 0.648 0.296
K 0.352 0.352 0.704
Ca 0.000 0.000 0.000
Cl 0.000 0.500 0.000
Cl 0.166 0.166 0.333
Cl 0.834 0.834 0.667
F 0.500 0.000 0.000

* uncorrected formation energy: -2.44 eV per atom
* electronic total energy: -28.7 eV for the cell shown
* magnetization: 0.0 Bohr magnetons per cell
* V: 198 Å³/cell

---

Please write out number 3 again, unchanged.
## CaInCl2F (PBE)

Data for crystalline CaInCl2F at its relaxed geometry.

a = 4.040 Å, b = 7.929 Å, c = 9.301 Å
α = 108.07°, β = 90.00°, γ = 90.00°
Positions (direct):
Ca 0.250 0.807 0.821
Ca 0.750 0.193 0.179
In 0.250 0.683 0.309
In 0.750 0.317 0.691
Cl 0.750 0.834 0.631
Cl 0.750 0.819 0.033
Cl 0.250 0.166 0.369
Cl 0.250 0.181 0.967
F 0.250 0.519 0.746
F 0.750 0.481 0.254

* uncorrected formation energy: -2.14 eV per atom
* electronic total energy: -42.0 eV for the cell shown
* magnetization: 0.0 Bohr magnetons per cell
* V: 283 Å³/cell